{"formula": "Ac12Ga5Ge3", "functional": "GGA-PBE", "state": "relaxed", "spacegroup": "Ia-3d (230)", "magnetic_moment_mub_per_cell": 0.00, "ef_ev_per_atom": -0.106, "lattice": [[-9.2869, 9.2869, 9.2869], [9.2869, -9.2869, 9.2869], [9.2869, 9.2869, -9.2869]], "species": ["Ac", "Ac", "Ac", "Ac", "Ac", "Ac", "Ac", "Ac", "Ac", "Ac", "Ac", "Ac", "Ac", "Ac", "Ac", "Ac", "Ac", "Ac", "Ac", "Ac", "Ac", "Ac", "Ac", "Ac", "Ac", "Ac", "Ac", "Ac", "Ac", "Ac", "Ac", "Ac", "Ac", "Ac", "Ac", "Ac", "Ac", "Ac", "Ac", "Ac", "Ac", "Ac", "Ac", "Ac", "Ac", "Ac", "Ac", "Ac", "Ga", "Ga", "Ga", "Ga", "Ga", "Ga", "Ga", "Ga", "Ga", "Ga", "Ga", "Ga", "Ga", "Ga", "Ga", "Ga", "Ga", "Ga", "Ga", "Ga", "Ge", "Ge", "Ge", "Ge", "Ge", "Ge", "Ge", "Ge", "Ge", "Ge", "Ge", "Ge"], "fractional_positions": [[0.0529, 0.2216, 0.1333], [0.0529, 0.3313, 0.9196], [0.0804, 0.6333, 0.4117], [0.0804, 0.9471, 0.6687], [0.0883, 0.7216, 0.6687], [0.0883, 0.8667, 0.4196], [0.1333, 0.0529, 0.2216], [0.1333, 0.5804, 0.9117], [0.1687, 0.2216, 0.5883], [0.1687, 0.4471, 0.5804], [0.2216, 0.1333, 0.0529], [0.2216, 0.5883, 0.1687], [0.2784, 0.3313, 0.9117], [0.2784, 0.4471, 0.3667], [0.3313, 0.9117, 0.2784], [0.3313, 0.9196, 0.0529], [0.3667, 0.2784, 0.4471], [0.3667, 0.5883, 0.9196], [0.4117, 0.0804, 0.6333], [0.4117, 0.8313, 0.7784], [0.4196, 0.0883, 0.8667], [0.4196, 0.8313, 0.5529], [0.4471, 0.3667, 0.2784], [0.4471, 0.5804, 0.1687], [0.5529, 0.4196, 0.8313], [0.5529, 0.6333, 0.7216], [0.5804, 0.1687, 0.4471], [0.5804, 0.9117, 0.1333], [0.5883, 0.1687, 0.2216], [0.5883, 0.9196, 0.3667], [0.6333, 0.4117, 0.0804], [0.6333, 0.7216, 0.5529], [0.6687, 0.0804, 0.9471], [0.6687, 0.0883, 0.7216], [0.7216, 0.5529, 0.6333], [0.7216, 0.6687, 0.0883], [0.7784, 0.4117, 0.8313], [0.7784, 0.8667, 0.9471], [0.8313, 0.5529, 0.4196], [0.8313, 0.7784, 0.4117], [0.8667, 0.4196, 0.0883], [0.8667, 0.9471, 0.7784], [0.9117, 0.1333, 0.5804], [0.9117, 0.2784, 0.3313], [0.9196, 0.0529, 0.3313], [0.9196, 0.3667, 0.5883], [0.9471, 0.6687, 0.0804], [0.9471, 0.7784, 0.8667], [0.0000, 0.0000, 0.0000], [0.0000, 0.0000, 0.5000], [0.0000, 0.5000, 0.0000], [0.0000, 0.5000, 0.5000], [0.1250, 0.7500, 0.8750], [0.1250, 0.8750, 0.2500], [0.2500, 0.1250, 0.8750], [0.2500, 0.6250, 0.3750], [0.3750, 0.2500, 0.6250], [0.3750, 0.6250, 0.7500], [0.5000, 0.0000, 0.0000], [0.5000, 0.0000, 0.5000], [0.5000, 0.5000, 0.0000], [0.5000, 0.5000, 0.5000], [0.6250, 0.3750, 0.2500], [0.6250, 0.7500, 0.3750], [0.7500, 0.3750, 0.6250], [0.7500, 0.8750, 0.1250], [0.8750, 0.1250, 0.7500], [0.8750, 0.2500, 0.1250], [0.1250, 0.2500, 0.3750], [0.1250, 0.3750, 0.7500], [0.2500, 0.3750, 0.1250], [0.2500, 0.8750, 0.6250], [0.3750, 0.1250, 0.2500], [0.3750, 0.7500, 0.1250], [0.6250, 0.2500, 0.8750], [0.6250, 0.8750, 0.7500], [0.7500, 0.1250, 0.3750], [0.7500, 0.6250, 0.8750], [0.8750, 0.6250, 0.2500], [0.8750, 0.7500, 0.6250]]}

{"formula": "AcTl4Cd", "functional": "GGA-PBE", "state": "relaxed", "spacegroup": "F-43m (216)", "magnetic_moment_mub_per_cell": 0.00, "ef_ev_per_atom": -0.027, "lattice": [[0.0000, 4.5586, 4.5586], [4.5586, 0.0000, 4.5586], [4.5586, 4.5586, 0.0000]], "species": ["Ac", "Tl", "Tl", "Tl", "Tl", "Cd"], "fractional_positions": [[0.0000, 0.0000, 0.0000], [0.3752, 0.3752, 0.3752], [0.3752, 0.3752, 0.8744], [0.3752, 0.8744, 0.3752], [0.8744, 0.3752, 0.3752], [0.7500, 0.7500, 0.7500]]}

{"formula": "Tb2PmUP4", "functional": "GGA-PBE", "state": "relaxed", "spacegroup": "P2/m (10)", "magnetic_moment_mub_per_cell": 2.09, "ef_ev_per_atom": -1.433, "lattice": [[6.9634, 0.0000, 0.0000], [0.0000, 4.0146, 0.0000], [-2.2967, 0.0000, 6.5898]], "species": ["Tb", "Tb", "Pm", "U", "P", "P", "P", "P"], "fractional_positions": [[0.0000, 0.0000, 0.0000], [0.0000, 0.5000, 0.5000], [0.5000, 0.0000, 0.5000], [0.5000, 0.5000, 0.0000], [0.2510, 0.5000, 0.2402], [0.2540, 0.0000, 0.7585], [0.7460, 0.0000, 0.2415], [0.7490, 0.5000, 0.7598]]}

{"formula": "CsThCu2F8", "functional": "GGA-PBE", "state": "relaxed", "spacegroup": "R-3 (148)", "magnetic_moment_mub_per_cell": 1.02, "lattice": [[2.7572, 1.5919, 8.1278], [-2.7572, 1.5919, 8.1278], [0.0000, -3.1838, 8.1278]], "species": ["Cs", "Th", "Cu", "Cu", "F", "F", "F", "F", "F", "F", "F", "F"], "fractional_positions": [[0.0000, 0.0000, 0.0000], [0.5000, 0.5000, 0.5000], [0.2671, 0.2671, 0.2671], [0.7329, 0.7329, 0.7329], [0.0968, 0.4784, 0.7667], [0.2333, 0.9032, 0.5216], [0.3432, 0.3432, 0.3432], [0.4784, 0.7667, 0.0968], [0.5216, 0.2333, 0.9032], [0.6568, 0.6568, 0.6568], [0.7667, 0.0968, 0.4784], [0.9032, 0.5216, 0.2333]]}

{"formula": "Na2Ga3Au4", "functional": "GGA-PBE", "state": "relaxed", "spacegroup": "Cmce (64)", "magnetic_moment_mub_per_cell": 0.00, "ef_ev_per_atom": -0.325, "lattice": [[3.0184, -7.8186, 0.0000], [3.0184, 7.8186, 0.0000], [0.0000, 0.0000, 7.5785]], "species": ["Na", "Na", "Na", "Na", "Ga", "Ga", "Ga", "Ga", "Ga", "Ga", "Au", "Au", "Au", "Au", "Au", "Au", "Au", "Au"], "fractional_positions": [[0.0985, 0.9015, 0.9017], [0.4015, 0.5985, 0.4017], [0.5985, 0.4015, 0.5983], [0.9015, 0.0985, 0.0983], [0.0000, 0.0000, 0.5000], [0.0124, 0.4876, 0.7500], [0.4876, 0.0124, 0.2500], [0.5000, 0.5000, 0.0000], [0.5124, 0.9876, 0.7500], [0.9876, 0.5124, 0.2500], [0.1772, 0.8228, 0.5242], [0.1843, 0.3157, 0.7500], [0.3157, 0.1843, 0.2500], [0.3228, 0.6772, 0.0242], [0.6772, 0.3228, 0.9758], [0.6843, 0.8157, 0.7500], [0.8157, 0.6843, 0.2500], [0.8228, 0.1772, 0.4758]]}

{"formula": "Hf2CoTc", "functional": "GGA-PBE", "state": "relaxed", "spacegroup": "Fm-3m (225)", "magnetic_moment_mub_per_cell": 0.15, "ef_ev_per_atom": -0.492, "lattice": [[0.0000, 3.2099, 3.2099], [3.2099, 0.0000, 3.2099], [3.2099, 3.2099, 0.0000]], "species": ["Hf", "Hf", "Co", "Tc"], "fractional_positions": [[0.2500, 0.2500, 0.2500], [0.7500, 0.7500, 0.7500], [0.0000, 0.0000, 0.0000], [0.5000, 0.5000, 0.5000]]}

{"formula": "Ta2RePt", "functional": "GGA-PBE", "state": "relaxed", "spacegroup": "P4mm (99)", "magnetic_moment_mub_per_cell": 0.00, "ef_ev_per_atom": -0.218, "lattice": [[3.3397, 0.0000, 0.0000], [0.0000, 3.3397, 0.0000], [0.0000, 0.0000, 6.0377]], "species": ["Ta", "Ta", "Re", "Pt"], "fractional_positions": [[0.0000, 0.0000, 0.0000], [0.5000, 0.5000, 0.2849], [0.5000, 0.5000, 0.7818], [0.0000, 0.0000, 0.5006]]}

{"formula": "MgNpPdRu", "functional": "GGA-PBE", "state": "relaxed", "spacegroup": "F-43m (216)", "magnetic_moment_mub_per_cell": 3.23, "ef_ev_per_atom": -0.173, "lattice": [[0.0000, 3.3082, 3.3082], [3.3082, 0.0000, 3.3082], [3.3082, 3.3082, 0.0000]], "species": ["Mg", "Np", "Pd", "Ru"], "fractional_positions": [[0.0000, 0.0000, 0.0000], [0.5000, 0.5000, 0.5000], [0.7500, 0.7500, 0.7500], [0.2500, 0.2500, 0.2500]]}

{"formula": "PmEr9Sc2", "functional": "GGA-PBE", "state": "relaxed", "spacegroup": "P6/mmm (191)", "magnetic_moment_mub_per_cell": 0.00, "ef_ev_per_atom": 0.035, "lattice": [[10.9761, 0.0000, 0.0000], [-5.4880, 9.5056, 0.0000], [0.0000, 0.0000, 3.4497]], "species": ["Pm", "Er", "Er", "Er", "Er", "Er", "Er", "Er", "Er", "Er", "Sc", "Sc"], "fractional_positions": [[0.0000, 0.0000, 0.0000], [0.0000, 0.5000, 0.0000], [0.1806, 0.3611, 0.5000], [0.1806, 0.8194, 0.5000], [0.3611, 0.1806, 0.5000], [0.5000, 0.0000, 0.0000], [0.5000, 0.5000, 0.0000], [0.6389, 0.8194, 0.5000], [0.8194, 0.1806, 0.5000], [0.8194, 0.6389, 0.5000], [0.3333, 0.6667, 0.0000], [0.6667, 0.3333, 0.0000]]}

{"formula": "Sr2TcBiO8", "functional": "GGA-PBE", "state": "relaxed", "spacegroup": "P-1 (2)", "magnetic_moment_mub_per_cell": 0.00, "lattice": [[5.3035, 0.0000, 0.0000], [-0.2041, 5.3136, 0.0000], [-0.1122, -0.0984, 6.7376]], "species": ["Sr", "Sr", "Tc", "Bi", "O", "O", "O", "O", "O", "O", "O", "O"], "fractional_positions": [[0.0186, 0.0172, 0.2584], [0.9814, 0.9828, 0.7416], [0.5000, 0.5000, 0.5000], [0.5000, 0.5000, 0.0000], [0.2256, 0.2234, 0.9874], [0.2521, 0.2506, 0.5234], [0.3111, 0.6506, 0.2822], [0.3468, 0.6873, 0.7162], [0.6532, 0.3127, 0.2838], [0.6889, 0.3494, 0.7178], [0.7479, 0.7494, 0.4766], [0.7744, 0.7766, 0.0126]]}

{"formula": "Mg2BiPd5", "functional": "GGA-PBE", "state": "relaxed", "spacegroup": "I4/mcm (140)", "magnetic_moment_mub_per_cell": 0.00, "ef_ev_per_atom": -0.422, "lattice": [[-3.5660, 3.5660, 5.4541], [3.5660, -3.5660, 5.4541], [3.5660, 3.5660, -5.4541]], "species": ["Mg", "Mg", "Mg", "Mg", "Bi", "Bi", "Pd", "Pd", "Pd", "Pd", "Pd", "Pd", "Pd", "Pd", "Pd", "Pd"], "fractional_positions": [[0.1506, 0.6506, 0.8012], [0.3494, 0.1506, 0.5000], [0.6506, 0.8494, 0.5000], [0.8494, 0.3494, 0.1988], [0.2500, 0.2500, 0.0000], [0.7500, 0.7500, 0.0000], [0.0000, 0.0000, 0.0000], [0.0137, 0.8025, 0.5000], [0.1975, 0.6975, 0.2113], [0.3025, 0.5137, 0.5000], [0.4863, 0.9863, 0.7887], [0.5000, 0.5000, 0.0000], [0.5137, 0.0137, 0.2113], [0.6975, 0.4863, 0.5000], [0.8025, 0.3025, 0.7887], [0.9863, 0.1975, 0.5000]]}

{"formula": "Dy3Er2Th2", "functional": "GGA-PBE", "state": "relaxed", "spacegroup": "C2/m (12)", "magnetic_moment_mub_per_cell": 0.00, "ef_ev_per_atom": 0.035, "lattice": [[5.8627, -1.7779, 0.0000], [5.8627, 1.7779, 0.0000], [-1.0338, 0.0000, 10.5473]], "species": ["Dy", "Dy", "Dy", "Er", "Er", "Th", "Th"], "fractional_positions": [[0.0000, 0.0000, 0.0000], [0.1416, 0.1416, 0.5716], [0.8584, 0.8584, 0.4284], [0.2847, 0.2847, 0.1459], [0.7153, 0.7153, 0.8541], [0.4307, 0.4307, 0.7165], [0.5693, 0.5693, 0.2835]]}

{"formula": "BaTa2Ru", "functional": "GGA-PBE", "state": "relaxed", "spacegroup": "R-3m (166)", "magnetic_moment_mub_per_cell": 0.00, "ef_ev_per_atom": 0.754, "lattice": [[1.5793, 0.9118, 10.2718], [-1.5793, 0.9118, 10.2718], [0.0000, -1.8236, 10.2718]], "species": ["Ba", "Ta", "Ta", "Ru"], "fractional_positions": [[0.0000, 0.0000, 0.0000], [0.2295, 0.2295, 0.2295], [0.7705, 0.7705, 0.7705], [0.5000, 0.5000, 0.5000]]}

no.,raw total energy (eV/cell),Fermi-level density of states (states/eV per atom)
1,-321.65,0.8767
2,-14.65,0.7320
3,-58.40,0.9057
4,-63.24,1.3054
5,-55.50,0.3276
6,-39.35,0.3859
7,-43.07,0.8417
8,-29.70,1.4527
9,-58.06,1.3277
10,-76.20,0.2992
11,-72.82,0.4616
12,-37.53,1.3885
13,-31.89,1.3793